Entry 1:
Here is an optimized crystal structure of LiNiOs2 from Alexandria. Energies are from PBE-GGA.

Properties
Volume = 52 Å³/cell
Symmetry = Pm (6)
ΔE_f = 171 meV per atom
Energy above the lowest structure with this stoichiometry = 57 meV/atom

a = 4.0550 Å, b = 2.6218 Å, c = 5.0273 Å
α = 74.83°, β = 90.00°, γ = 90.00°
Last column: nearest neighbours and their distance in Å.
Fractional positions:
Li: 0.0000 0.5521 0.5276  2 Ni 2.28, 1 Os 2.49
Ni: 0.5000 0.6538 0.7145  2 Li 2.28, 1 Os 2.54
Os: 0.0000 0.9579 0.0211  2 Li 2.49-2.56, 6 Os 2.61-2.65, 2 Ni 2.79
Os: 0.5000 0.3362 0.2368  3 Ni 2.54-2.74, 6 Os 2.61-2.65, 2 Li 2.65

=====

Entry 2:
Here is an optimized crystal structure of LiNiOs2 from Alexandria. Energies are from PBE-GGA.

Properties
Volume = 122 Å³/cell
Symmetry = I-42d (122)
ΔE_f = 765 meV per atom
Energy above the lowest structure with this stoichiometry = 652 meV/atom

a = 7.4329 Å, b = 7.4329 Å, c = 5.7038 Å
α = 49.34°, β = 49.34°, γ = 90.00°
Last column: nearest neighbours and their distance in Å.
Fractional positions:
Ni: 0.0000 0.0000 0.0000  2 Li 2.22, 4 Os 2.36
Ni: 0.7500 0.2500 0.5000  2 Li 2.22, 4 Os 2.36
Os: 0.6938 0.1250 0.2500  2 Ni 2.36, 2 Os 2.44
Os: 0.0562 0.6250 0.2500  2 Ni 2.36, 2 Os 2.44
Os: 0.3750 0.3062 0.7500  2 Ni 2.36, 2 Os 2.44
Os: 0.8750 0.9438 0.7500  2 Ni 2.36, 2 Os 2.44
Li: 0.5000 0.5000 0.0000  2 Ni 2.22
Li: 0.2500 0.7500 0.5000  2 Ni 2.22

=====

Entry 3:
Here is an optimized crystal structure of LiNi2Os from Alexandria. Energies are from PBE-GGA.

Properties
Volume = 47 Å³/cell
Symmetry = F-43m (216)
ΔE_f = 307 meV per atom
Energy above the lowest structure with this stoichiometry = 293 meV/atom

a = 4.0374 Å, b = 4.0374 Å, c = 4.0374 Å
α = 60.00°, β = 60.00°, γ = 60.00°
Last column: nearest neighbours and their distance in Å.
Fractional positions:
Li: 0.5000 0.5000 0.5000  4 Ni 2.47, 4 Os 2.47
Ni: 0.0000 0.0000 0.0000  4 Os 2.47, 4 Ni 2.47
Ni: 0.2500 0.2500 0.2500  4 Li 2.47, 4 Ni 2.47
Os: 0.7500 0.7500 0.7500  4 Li 2.47, 4 Ni 2.47

=====

Entry 4:
Here is an optimized crystal structure of LiNiOs2 from Alexandria. Energies are from PBE-GGA.

Properties
Volume = 56 Å³/cell
Symmetry = Immm (71)
ΔE_f = 114 meV per atom
Energy above the lowest structure with this stoichiometry = 0 meV/atom

a = 5.5951 Å, b = 5.5951 Å, c = 5.5951 Å
α = 152.72°, β = 135.59°, γ = 52.91°
Last column: nearest neighbours and their distance in Å.
Fractional positions:
Li: 0.7500 0.2500 0.5000  4 Ni 2.49, 2 Li 2.64
Ni: 0.2500 0.7500 0.5000  4 Li 2.49, 4 Os 2.49, 2 Ni 2.64
Os: 0.0387 0.0387 0.0000  2 Ni 2.49, 6 Os 2.61-2.64
Os: 0.4613 0.4613 0.0000  2 Ni 2.49, 6 Os 2.61-2.64

=====

Entry 5:
Here is an optimized crystal structure of LiNiOs2 from Alexandria. Energies are from PBE-GGA.

Properties
Volume = 52 Å³/cell
Symmetry = P4/mmm (123)
ΔE_f = 344 meV per atom
Energy above the lowest structure with this stoichiometry = 230 meV/atom

a = 3.9737 Å, b = 3.6111 Å, c = 3.6111 Å
α = 90.00°, β = 90.00°, γ = 90.00°
Last column: nearest neighbours and their distance in Å.
Fractional positions:
Li: 0.5000 0.5000 0.0000  4 Ni 2.55, 8 Os 2.68
Ni: 0.5000 0.0000 0.5000  4 Li 2.55, 8 Os 2.68
Os: 0.0000 0.0000 0.0000  4 Os 2.55, 4 Li 2.68, 4 Ni 2.68
Os: 0.0000 0.5000 0.5000  4 Os 2.55, 4 Li 2.68, 4 Ni 2.68

=====

Entry 6:
Here is an optimized crystal structure of LiNiOs2 from Alexandria. Energies are from PBE-GGA.

Properties
Volume = 52 Å³/cell
Symmetry = Cm (8)
ΔE_f = 166 meV per atom
Energy above the lowest structure with this stoichiometry = 53 meV/atom

a = 4.5671 Å, b = 4.5671 Å, c = 4.6153 Å
α = 82.36°, β = 82.36°, γ = 33.37°
Last column: nearest neighbours and their distance in Å.
Fractional positions:
Li: 0.5047 0.5047 0.4694  3 Ni 2.42-2.62, 2 Li 2.62, 5 Os 2.66-2.67
Ni: 0.2589 0.2589 0.2841  3 Li 2.42-2.62, 4 Os 2.60-2.68, 2 Ni 2.62
Os: 0.9935 0.9935 0.9721  5 Os 2.49-2.62, 4 Li 2.66, 2 Ni 2.68
Os: 0.7428 0.7428 0.7744  5 Os 2.49-2.62, 4 Ni 2.60-2.71, 1 Li 2.67

=====

Entry 7:
Here is an optimized crystal structure of LiNi2Os2 from Alexandria. Energies are from PBE-GGA.

Properties
Volume = 141 Å³/cell
Symmetry = P4/mbm (127)
ΔE_f = 291 meV per atom
Energy above the lowest structure with this stoichiometry = 0 meV/atom

a = 7.4456 Å, b = 7.4456 Å, c = 2.5468 Å
α = 90.00°, β = 90.00°, γ = 90.00°
Last column: nearest neighbours and their distance in Å.
Fractional positions:
Ni: 0.1765 0.6765 0.5000  6 Os 2.49-2.59, 2 Ni 2.55
Ni: 0.6765 0.8235 0.5000  6 Os 2.49-2.59, 2 Ni 2.55
Ni: 0.8235 0.3235 0.5000  6 Os 2.49-2.59, 2 Ni 2.55
Ni: 0.3235 0.1765 0.5000  6 Os 2.49-2.59, 2 Ni 2.55
Os: 0.3792 0.8792 0.0000  6 Ni 2.49-2.59, 3 Os 2.54-2.55
Os: 0.8792 0.6208 0.0000  6 Ni 2.49-2.59, 3 Os 2.54-2.55
Os: 0.6208 0.1208 0.0000  6 Ni 2.49-2.59, 3 Os 2.54-2.55
Os: 0.1208 0.3792 0.0000  6 Ni 2.49-2.59, 3 Os 2.54-2.55
Li: 0.0000 0.0000 0.0000  2 Li 2.55
Li: 0.5000 0.5000 0.0000  2 Li 2.55

=====

Entry 8:
Here is an optimized crystal structure of LiNi2Os from Alexandria. Energies are from PBE-GGA.

Properties
Volume = 48 Å³/cell
Symmetry = Cmmm (65)
ΔE_f = 33 meV per atom
Energy above the lowest structure with this stoichiometry = 19 meV/atom

a = 4.4589 Å, b = 4.4589 Å, c = 2.5480 Å
α = 90.00°, β = 90.00°, γ = 108.81°
Last column: nearest neighbours and their distance in Å.
Fractional positions:
Ni: 0.0000 0.0000 0.0000  4 Ni 2.55-2.60, 4 Li 2.57, 4 Os 2.57
Ni: 0.5000 0.5000 0.0000  4 Ni 2.55-2.60, 4 Os 2.57, 4 Li 2.57
Os: 0.5000 0.0000 0.5000  2 Os 2.55, 8 Ni 2.57, 2 Li 2.60
Li: 0.0000 0.5000 0.5000  2 Li 2.55, 8 Ni 2.57, 2 Os 2.60

=====

Entry 9:
Here is an optimized crystal structure of LiNiOs2 from Alexandria. Energies are from PBE-GGA.

Properties
Volume = 49 Å³/cell
Symmetry = Imm2 (44)
ΔE_f = 211 meV per atom
Energy above the lowest structure with this stoichiometry = 98 meV/atom

a = 4.7323 Å, b = 4.7323 Å, c = 4.7323 Å
α = 143.35°, β = 128.34°, γ = 65.00°
Last column: nearest neighbours and their distance in Å.
Fractional positions:
Li: 0.4858 0.4858 0.0000  2 Ni 2.29, 6 Os 2.51-2.55
Ni: 0.2673 0.7673 0.5000  2 Li 2.29, 6 Os 2.55
Os: 0.0073 0.0073 0.0000  4 Li 2.55, 4 Ni 2.55-2.81, 4 Os 2.60-2.77
Os: 0.7396 0.2396 0.5000  2 Li 2.51, 4 Ni 2.55, 4 Os 2.60-2.77

=====

Entry 10:
Here is an optimized crystal structure of Li3NiOs from Alexandria. Energies are from PBE-GGA.

Properties
Volume = 98 Å³/cell
Symmetry = Pm-3m (221)
ΔE_f = 1430 meV per atom
Energy above the lowest structure with this stoichiometry = 291 meV/atom

a = 4.6149 Å, b = 4.6149 Å, c = 4.6149 Å
α = 90.00°, β = 90.00°, γ = 90.00°
Last column: nearest neighbours and their distance in Å.
Fractional positions:
Ni: 0.5000 0.5000 0.5000  12 Li 3.26
Os: 0.0000 0.0000 0.0000  6 Li 2.31
Li: 0.0000 0.5000 0.0000  2 Os 2.31
Li: 0.0000 0.0000 0.5000  2 Os 2.31
Li: 0.5000 0.0000 0.0000  2 Os 2.31

=====

Entry 11:
Here is an optimized crystal structure of LiNiOs2 from Alexandria. Energies are from PBE-GGA.

Properties
Volume = 53 Å³/cell
Symmetry = C2/m (12)
ΔE_f = 298 meV per atom
Energy above the lowest structure with this stoichiometry = 184 meV/atom

a = 4.6794 Å, b = 5.0896 Å, c = 2.5916 Å
α = 77.24°, β = 85.79°, γ = 116.17°
Last column: nearest neighbours and their distance in Å.
Fractional positions:
Li: 0.0000 0.5000 0.5000  4 Os 2.59, 4 Ni 2.59-2.76, 2 Li 2.59
Ni: 0.5000 0.5000 0.0000  4 Os 2.59, 4 Li 2.59-2.76, 2 Ni 2.59
Os: 0.0000 0.0000 0.0000  2 Ni 2.59, 2 Li 2.59, 6 Os 2.59-2.76
Os: 0.5000 0.0000 0.5000  2 Li 2.59, 2 Ni 2.59, 6 Os 2.59-2.76

=====

Entry 12:
Here is an optimized crystal structure of LiNiOs3 from Alexandria. Energies are from PBE-GGA.

Properties
Volume = 66 Å³/cell
Symmetry = Pm-3m (221)
ΔE_f = 1473 meV per atom
Energy above the lowest structure with this stoichiometry = 0 meV/atom

a = 4.0493 Å, b = 4.0493 Å, c = 4.0493 Å
α = 90.00°, β = 90.00°, γ = 90.00°
Last column: nearest neighbours and their distance in Å.
Fractional positions:
Ni: 0.5000 0.5000 0.5000  12 Os 2.86
Os: 0.0000 0.5000 0.0000  2 Li 2.02
Os: 0.0000 0.0000 0.5000  2 Li 2.02
Os: 0.5000 0.0000 0.0000  2 Li 2.02
Li: 0.0000 0.0000 0.0000  6 Os 2.02

=====

volume of number 12 (LiNiOs3)?
66 Å³/cell

=====

energy above the lowest structure with this stoichiometry of number 10 (Li3NiOs)?
291 meV/atom

=====

Number 6 is which compound?
LiNiOs2